The following is a PBE-GGA calculation of an optimized crystal structure of Y3PaOs8, from Alexandria via LeMat-Bulk. Values from VASP.

Cell and atoms, written as Quantum ESPRESSO input:
```
&SYSTEM
  ibrav = 0, nat = 12, ntyp = 3
/
ATOMIC_SPECIES
Pa 231.04 Pa.upf
Os 190.23 Os.upf
Y 88.91 Y.upf
ATOMIC_POSITIONS crystal
Pa 0.8747 0.8747 0.3759
Os 0.1875 0.1875 0.4374
Y 0.0010 0.0010 0.9971
Os 0.4378 0.4378 0.1876
Os 0.6877 0.6877 0.9368
Os 0.9379 0.9379 0.6873
Y 0.4990 0.4990 0.5031
Os 0.9379 0.4369 0.6873
Os 0.4378 0.9368 0.1876
Os 0.9368 0.4378 0.1876
Os 0.4369 0.9379 0.6873
Y 0.3750 0.3750 0.8751
CELL_PARAMETERS angstrom
5.1334 0.0000 1.5496
2.3328 4.5727 1.5496
-0.0070 -0.0043 9.3005
```

Properties
The calculation puts the energy at -122.01 eV for the cell shown. The total magnetization is 0.0 μB/f.u.

***

The following is a PBE-GGA calculation of an optimized crystal structure of YPaOs, from Alexandria via LeMat-Bulk. Values from VASP.

Cell and atoms, written as Quantum ESPRESSO input:
```
&SYSTEM
  ibrav = 0, nat = 3, ntyp = 3
/
ATOMIC_SPECIES
Y 88.91 Y.upf
Pa 231.04 Pa.upf
Os 190.23 Os.upf
ATOMIC_POSITIONS crystal
Y 0.5000 0.5000 0.5000
Pa 0.0000 0.0000 0.0000
Os 0.2500 0.2500 0.2500
CELL_PARAMETERS angstrom
4.7772 0.0000 0.0000
2.3886 4.1372 0.0000
2.3886 1.3791 3.9005
```

Properties
The calculation puts the energy at -27.20 eV for the cell shown. The total magnetization is 0.6 μB/f.u. The energy above the lowest structure with this stoichiometry comes out at 176 meV per atom.

***

The following is a PBE-GGA calculation of an optimized crystal structure of YPaOs2, from Alexandria via LeMat-Bulk. Values from VASP.

Cell and atoms, written as Quantum ESPRESSO input:
```
&SYSTEM
  ibrav = 0, nat = 16, ntyp = 3
/
ATOMIC_SPECIES
Pa 231.04 Pa.upf
Os 190.23 Os.upf
Y 88.91 Y.upf
ATOMIC_POSITIONS crystal
Pa 0.8622 0.9576 0.1470
Os 0.8662 0.4562 0.0997
Y 0.3601 0.0455 0.3509
Y 0.6399 0.5455 0.8509
Pa 0.1378 0.0424 0.8530
Os 0.6696 0.4201 0.5521
Pa 0.8622 0.5424 0.3530
Os 0.8662 0.0438 0.4003
Os 0.1338 0.9562 0.5997
Os 0.1338 0.5438 0.9003
Os 0.6696 0.0799 0.9479
Y 0.3601 0.4545 0.1491
Y 0.6399 0.9545 0.6491
Os 0.3304 0.9201 0.0521
Pa 0.1378 0.4576 0.6470
Os 0.3304 0.5799 0.4479
CELL_PARAMETERS angstrom
-0.1413 -5.7382 -1.6067
1.6260 1.4734 -5.4054
9.1146 -1.5309 4.6658
```

Properties
The calculation puts the energy at -157.45 eV for the cell shown. The total magnetization is 0.0 μB/f.u. The energy above the lowest structure with this stoichiometry comes out at 33 meV per atom.

***

The following is a PBE-GGA calculation of an optimized crystal structure of YPaZnOs, from Alexandria via LeMat-Bulk. Values from VASP.

Cell and atoms, written as Quantum ESPRESSO input:
```
&SYSTEM
  ibrav = 0, nat = 4, ntyp = 4
/
ATOMIC_SPECIES
Zn 65.41 Zn.upf
Os 190.23 Os.upf
Y 88.91 Y.upf
Pa 231.04 Pa.upf
ATOMIC_POSITIONS crystal
Zn 0.0000 0.0000 0.0000
Os 0.5000 0.5000 0.5000
Y 0.7500 0.7500 0.7500
Pa 0.2500 0.2500 0.2500
CELL_PARAMETERS angstrom
-1.0122 1.2841 -4.6468
3.3685 -0.6728 -3.5308
-0.6807 -3.4760 -3.4234
```

Properties
The calculation puts the energy at -29.06 eV for the cell shown. The total magnetization is 0.0 μB/f.u.

***

no.,formation energy from the elements (eV/atom)
1,-0.27
2,0.00
3,-0.24
4,-0.15